--- 1 ---
Here is a relaxed PPbS2Cl crystal from Alexandria via LeMat-Bulk. Energies are from GGA-PBE.

a b c (Å): 4.8980 4.8980 4.6395
angles (deg): 90.00 90.00 90.00
Element x y z (fractional)
P (0.0000, 0.0000, 0.0000)
Pb (0.5000, 0.5000, 0.0000)
S (0.0000, 0.5000, 0.5000)
S (0.5000, 0.0000, 0.5000)
Cl (0.0000, 0.0000, 0.5000)

As for the calculated volume: 111.3 Å³ per cell. The density of states at the Fermi level is 0.789 states/eV per atom. The value obtained for the magnetic moment is 0.000 μB per atom. The space group is P4/mmm, No. 123.

--- 2 ---
Here is a relaxed PPbS2Cl crystal from Alexandria via LeMat-Bulk. Energies are from GGA-PBE.

a b c (Å): 4.7276 4.7276 4.7481
angles (deg): 90.00 90.00 90.00
Element x y z (fractional)
P (0.0000, 0.0000, 0.0000)
Pb (0.5000, 0.5000, 0.5000)
S (0.0000, 0.5000, 0.0000)
S (0.5000, 0.0000, 0.0000)
Cl (0.0000, 0.0000, 0.5000)

As for the calculated volume: 106.1 Å³ per cell. The density of states at the Fermi level is 0.070 states/eV per atom. The value obtained for the magnetic moment is 0.000 μB per atom. The space group is P4/mmm, No. 123.

--- 3 ---
Here is a relaxed PPbS2Cl crystal from Alexandria via LeMat-Bulk. Energies are from GGA-PBE.

a b c (Å): 5.1270 5.1270 5.6851
angles (deg): 90.00 90.00 90.00
Element x y z (fractional)
P (0.0000, 0.0000, 0.0000)
Pb (0.0000, 0.0000, 0.5000)
S (0.0000, 0.5000, 0.5000)
S (0.5000, 0.0000, 0.5000)
Cl (0.5000, 0.5000, 0.0000)

As for the calculated volume: 149.4 Å³ per cell. The density of states at the Fermi level is 1.591 states/eV per atom. The value obtained for the magnetic moment is 0.001 μB per atom. The space group is P4/mmm, No. 123.

--- 4 ---
Here is a relaxed PPbS2Cl crystal from Alexandria via LeMat-Bulk. Energies are from GGA-PBE.

a b c (Å): 5.2686 5.2686 5.2834
angles (deg): 90.00 90.00 90.00
Element x y z (fractional)
P (0.0000, 0.0000, 0.0000)
Pb (0.5000, 0.5000, 0.5000)
S (0.0000, 0.5000, 0.5000)
S (0.5000, 0.0000, 0.5000)
Cl (0.5000, 0.5000, 0.0000)

As for the calculated volume: 146.7 Å³ per cell. The density of states at the Fermi level is 0.771 states/eV per atom. The value obtained for the magnetic moment is 0.235 μB per atom. The space group is P4/mmm, No. 123.

Going by the computed energies, the most stable comes first: 2, 1, 4, 3.